(1)
Entry from the Alexandria database: a geometry-optimized Na2LiTl structure (PBE-GGA).

energy relative to the elements: 0.2 eV per formula unit
DOS at the Fermi energy: 0.658 states/eV/atom
DFT total energy: -6.69 eV per formula unit
energy relative to the lowest polymorph listed for this composition: 155 meV per atom
SG: R-3m (166)
total magnetization: 0.000 μB per cell

Lattice parameters (Å, degrees): 3.449 3.449 11.951 81.70 81.70 60.00
Atoms (fractional coordinates):
Na1 0.091 0.091 0.728
Na2 0.909 0.909 0.272
Tl1 0.000 0.000 0.000
Li1 0.500 0.500 0.500

(2)
Entry from the Alexandria database: a geometry-optimized ZrScPb2 structure (PBE-GGA).

energy relative to the elements: -0.4 eV per formula unit
DOS at the Fermi energy: 1.203 states/eV/atom
DFT total energy: -22.65 eV per formula unit
energy relative to the lowest polymorph listed for this composition: 176 meV per atom
SG: Fm-3m (225)
total magnetization: 1.679 μB per cell

Lattice parameters (Å, degrees): 5.179 5.179 5.179 60.00 60.00 60.00
Atoms (fractional coordinates):
Pb1 0.250 0.250 0.250
Pb2 0.750 0.750 0.750
Sc1 0.000 0.000 0.000
Zr1 0.500 0.500 0.500

(3)
Entry from the Alexandria database: a geometry-optimized Tb7Pm3Sm structure (PBE-GGA).

energy relative to the elements: 2.0 eV per formula unit
DOS at the Fermi energy: 1.547 states/eV/atom
DFT total energy: -49.43 eV per formula unit
energy relative to the lowest polymorph listed for this composition: 40 meV per atom
SG: P3m1 (156)
total magnetization: 0.000 μB per cell

Lattice parameters (Å, degrees): 8.708 7.109 7.109 120.00 90.00 90.00
Atoms (fractional coordinates):
Tb1 0.119 0.167 0.833
Tb2 0.119 0.167 0.335
Tb3 0.122 0.667 0.333
Tb4 0.447 0.832 0.168
Tb5 0.447 0.335 0.168
Tb6 0.447 0.832 0.665
Tb7 0.119 0.665 0.833
Pm1 0.784 0.500 0.500
Pm2 0.784 0.500 0.000
Pm3 0.784 0.000 0.500
Sm1 0.445 0.333 0.667

(4)
Entry from the Alexandria database: a geometry-optimized CsRb2TlGa structure (PBE-GGA).

energy relative to the elements: 0.4 eV per formula unit
DOS at the Fermi energy: 0.933 states/eV/atom
DFT total energy: -7.82 eV per formula unit
energy relative to the lowest polymorph listed for this composition: 0 meV per atom
SG: P4/mmm (123)
total magnetization: 0.002 μB per cell

Lattice parameters (Å, degrees): 7.066 7.066 5.817 90.00 90.00 90.00
Atoms (fractional coordinates):
Cs1 0.500 0.500 0.500
Tl1 0.000 0.000 0.500
Ga1 0.000 0.000 0.000
Rb1 0.000 0.500 0.000
Rb2 0.500 0.000 0.000

(5)
Entry from the Alexandria database: a geometry-optimized K2Zn2CrSe4 structure (PBE-GGA).

formation energy without anion corrections: -78.1 kJ/mol of atoms
DFT total energy: -35.59 eV per formula unit
SG: C2/m (12)
total magnetization: 4.000 μB per cell

Lattice parameters (Å, degrees): 3.927 7.533 8.438 106.88 103.45 90.00
Atoms (fractional coordinates):
K1 0.123 0.535 0.246
K2 0.877 0.465 0.754
Zn1 0.672 0.992 0.344
Zn2 0.328 0.008 0.656
Cr1 0.000 0.000 0.000
Se1 0.219 0.199 0.438
Se2 0.781 0.801 0.562
Se3 0.523 0.792 0.046
Se4 0.477 0.208 0.954

(6)
Entry from the Alexandria database: a geometry-optimized Li3Hf2NpS6 structure (PBE-GGA).

formation energy without anion corrections: -138.9 kJ/mol of atoms
DOS at the Fermi energy: 1.157 states/eV/atom
DFT total energy: -80.63 eV per formula unit
SG: C2/m (12)
total magnetization: 4.668 μB per cell

Lattice parameters (Å, degrees): 6.408 6.408 6.572 99.39 99.39 119.96
Atoms (fractional coordinates):
Li1 0.165 0.835 0.500
Li2 0.835 0.165 0.500
Li3 0.500 0.500 0.500
Hf1 0.334 0.666 0.000
Hf2 0.666 0.334 0.000
Np1 0.000 0.000 0.000
S1 0.917 0.566 0.751
S2 0.733 0.733 0.251
S3 0.083 0.434 0.249
S4 0.566 0.917 0.751
S5 0.267 0.267 0.749
S6 0.434 0.083 0.249

(7)
Entry from the Alexandria database: a geometry-optimized Li2Ac5Pb5 structure (PBE-GGA).

energy relative to the elements: -6.0 eV per formula unit
DOS at the Fermi energy: 0.486 states/eV/atom
DFT total energy: -48.94 eV per formula unit
energy relative to the lowest polymorph listed for this composition: 0 meV per atom
SG: C2/m (12)
total magnetization: 0.000 μB per cell

Lattice parameters (Å, degrees): 4.978 9.067 9.705 79.57 75.14 74.07
Atoms (fractional coordinates):
Li1 0.853 0.534 0.759
Li2 0.147 0.466 0.241
Ac1 0.500 0.500 0.500
Ac2 0.394 0.289 0.924
Ac3 0.307 0.057 0.328
Ac4 0.693 0.943 0.672
Ac5 0.606 0.711 0.076
Pb1 0.941 0.764 0.353
Pb2 0.250 0.682 0.817
Pb3 0.750 0.318 0.183
Pb4 0.059 0.236 0.647
Pb5 0.000 0.000 0.000

(8)
Entry from the Alexandria database: a geometry-optimized CsAs2Pd structure (PBE-GGA).

energy relative to the elements: -0.7 eV per formula unit
DOS at the Fermi energy: 0.121 states/eV/atom
DFT total energy: -16.01 eV per formula unit
energy relative to the lowest polymorph listed for this composition: 151 meV per atom
SG: P4/mmm (123)
total magnetization: 0.000 μB per cell

Lattice parameters (Å, degrees): 3.626 3.626 7.721 90.00 90.00 90.00
Atoms (fractional coordinates):
Cs1 0.500 0.500 0.500
As1 0.000 0.000 0.848
As2 0.000 0.000 0.152
Pd1 0.500 0.500 0.000

(9)
Entry from the Alexandria database: a geometry-optimized Sr2EuHo structure (PBE-GGA).

energy relative to the elements: 1.3 eV per formula unit
DOS at the Fermi energy: 1.395 states/eV/atom
DFT total energy: -16.92 eV per formula unit
energy relative to the lowest polymorph listed for this composition: 151 meV per atom
SG: R-3m (166)
total magnetization: 6.918 μB per cell

Lattice parameters (Å, degrees): 3.827 3.827 14.065 82.18 82.18 60.00
Atoms (fractional coordinates):
Eu1 0.500 0.500 0.500
Sr1 0.085 0.085 0.745
Sr2 0.915 0.915 0.255
Ho1 0.000 0.000 0.000

(10)
Entry from the Alexandria database: a geometry-optimized RbP2CCl structure (PBE-GGA).

formation energy without anion corrections: 227.9 kJ/mol of atoms
DOS at the Fermi energy: 0.669 states/eV/atom
DFT total energy: -11.05 eV per formula unit
energy relative to the lowest polymorph listed for this composition: 1827 meV per atom
SG: P4/mmm (123)
total magnetization: 7.875 μB per cell

Lattice parameters (Å, degrees): 8.054 8.054 6.070 90.00 90.00 90.00
Atoms (fractional coordinates):
P1 0.000 0.500 0.000
P2 0.500 0.000 0.000
C1 0.500 0.500 0.500
Rb1 0.000 0.000 0.000
Cl1 0.000 0.000 0.500

(11)
Entry from the Alexandria database: a geometry-optimized ScMo8 structure (PBE-GGA).

energy relative to the elements: 2.3 eV per formula unit
DOS at the Fermi energy: 0.834 states/eV/atom
DFT total energy: -90.64 eV per formula unit
SG: I4/mmm (139)
total magnetization: 0.000 μB per cell

Lattice parameters (Å, degrees): 6.099 6.099 6.099 98.61 98.61 134.46
Atoms (fractional coordinates):
Sc1 0.000 0.000 0.000
Mo1 0.670 0.670 0.340
Mo2 0.330 0.330 0.660
Mo3 0.000 0.342 0.342
Mo4 0.330 0.670 0.000
Mo5 0.658 0.000 0.658
Mo6 0.670 0.330 0.000
Mo7 0.000 0.658 0.658
Mo8 0.342 0.000 0.342

(12)
Entry from the Alexandria database: a geometry-optimized LiAlS2N structure (PBE-GGA).

formation energy without anion corrections: 0.2 kJ/mol of atoms
DOS at the Fermi energy: 0.806 states/eV/atom
DFT total energy: -22.22 eV per formula unit
energy relative to the lowest polymorph listed for this composition: 0 meV per atom
SG: P4/mmm (123)
total magnetization: 0.452 μB per cell

Lattice parameters (Å, degrees): 4.765 4.765 3.660 90.00 90.00 90.00
Atoms (fractional coordinates):
S1 0.000 0.500 0.000
S2 0.500 0.000 0.000
Li1 0.500 0.500 0.500
Al1 0.000 0.000 0.000
N1 0.000 0.000 0.500